# 1
12
Lattice="3.5812 0.0000 0.0000 0.0000 8.0530 0.9258 0.0000 -1.3270 12.5019" Properties=species:S:1:pos:R:3 comment="PBE Er3Th2Sc, relaxed" e_form_kj_per_mol_atoms=6 final_energy_ry_per_atom=-0.4222 pbc="T T T"
Er 0.8953 2.7002 0.9947
Er 2.6859 4.5142 3.6554
Sc 0.8953 5.5612 10.1402
Th 2.6859 4.4180 7.6199
Th 0.8953 2.3080 5.8078
Th 0.8953 7.2160 2.1812
Er 2.6859 4.0257 12.4329
Er 0.8953 2.2118 9.7722
Th 2.6859 -0.4901 11.2465
Er 2.6859 -0.1168 7.6856
Sc 2.6859 1.1647 3.2875
Er 0.8953 6.8428 5.7421

---

# 2
3
Lattice="5.2030 0.0002 0.0000 3.5590 3.7954 0.0000 -4.3810 -1.8978 2.0680" Properties=species:S:1:pos:R:3 comment="PBE MnMoAs, relaxed" e_form_kj_per_mol_atoms=5 final_energy_ry_per_atom=-0.6000 pbc="T T T"
Mo 5.8602 2.5385 0.0000
Mn 3.0544 1.3231 0.0000
As 8.6094 3.7295 0.0000

---

# 3
4
Lattice="0.0000 3.5783 3.5783 3.5783 0.0000 3.5783 3.5783 3.5783 0.0000" Properties=species:S:1:pos:R:3 comment="PBE BaSc2Ni, relaxed" e_form_kj_per_mol_atoms=39 final_energy_ry_per_atom=-0.3445 pbc="T T T"
Ni 0.0000 0.0000 0.0000
Sc 5.3675 5.3675 5.3675
Ba 3.5783 3.5783 3.5783
Sc 1.7892 1.7892 1.7892

---

# 4
4
Lattice="2.0672 -2.4861 2.6374 -1.1974 -3.9655 0.5011 2.3716 -3.0982 -1.4787" Properties=species:S:1:pos:R:3 comment="PBE Li2TcW, relaxed" e_form_kj_per_mol_atoms=85 final_energy_ry_per_atom=-0.4338 pbc="T T T"
W 1.6207 -4.7749 0.8299
Li 0.8103 -2.3874 0.4150
Tc 0.0000 0.0000 0.0000
Li 2.4310 -7.1623 1.2449

---

# 5
8
Lattice="-1.3479 -0.6291 -3.9044 2.2004 -2.9661 1.9539 -9.7035 -4.5130 4.0769" Properties=species:S:1:pos:R:3 comment="PBE LaAlSi2, relaxed" formation_energy_uncorrected_ev_per_atom=-0.525 final_energy_ry_per_atom=-0.3972 pbc="T T T"
Si -8.6281 -6.6732 4.0538
La -1.7848 -0.8301 0.7499
Al -4.2229 -3.2953 -0.2468
Si -6.3998 -4.3078 0.6678
Al -4.6281 -4.8129 2.3731
Si -2.4512 -3.8004 1.4585
La -7.9187 -3.6829 3.3270
Si -0.2229 -1.4350 -1.9274

---

# 6
4
Lattice="4.4414 0.0000 0.0000 2.2207 3.8463 0.0000 2.2207 1.2821 3.6264" Properties=species:S:1:pos:R:3 comment="PBE ZrNbCrCo, relaxed" e_form_kj_per_mol_atoms=-1 final_energy_ry_per_atom=-0.6506 pbc="T T T"
Cr 2.2207 1.2821 0.9066
Nb 0.0000 0.0000 0.0000
Zr 4.4414 2.5642 1.8132
Co 6.6620 3.8463 2.7198

---

# 7
5
Lattice="-0.0740 1.0536 -3.8842 -3.3968 -2.0998 -0.5048 -2.1584 3.2685 0.9277" Properties=species:S:1:pos:R:3 comment="PBE Be3TcRh, relaxed" e_form_kj_per_mol_atoms=56 final_energy_ry_per_atom=-0.3825 pbc="T T T"
Be -1.6984 -1.0499 -0.2524
Tc -2.8146 1.1111 -1.7307
Be -0.0370 0.5268 -1.9421
Be -1.0792 1.6342 0.4638
Rh 0.0000 0.0000 0.0000

---

# 8
4
Lattice="4.6487 0.0000 0.0000 2.3243 4.0259 0.0000 2.3243 1.3420 3.7963" Properties=species:S:1:pos:R:3 comment="PBE CdAg2Pd, relaxed" e_form_kj_per_mol_atoms=-13 final_energy_ry_per_atom=-0.2267 pbc="T T T"
Ag 6.9730 4.0259 0.0002
Ag 2.3243 1.3420 0.9495
Cd 4.6487 2.6839 1.8987
Pd 6.9730 4.0259 2.8461

---

# 9
5
Lattice="6.0814 0.0000 0.0000 0.0000 6.0814 0.0000 0.0000 0.0000 6.0599" Properties=species:S:1:pos:R:3 comment="PBE CuBiTeI2, relaxed" formation_energy_uncorrected_ev_per_atom=0.562 final_energy_ry_per_atom=-0.1677 pbc="T T T"
I 0.0000 3.0407 0.0000
I 3.0407 0.0000 0.0000
Te 0.0000 0.0000 3.0299
Bi 0.0000 0.0000 0.0000
Cu 3.0407 3.0407 3.0299

---

# 10
4
Lattice="3.7825 -1.3396 2.2524 2.9984 3.1370 1.5310 0.3924 0.7964 4.5152" Properties=species:S:1:pos:R:3 comment="PBE CaHgF2, relaxed" formation_energy_uncorrected_ev_per_atom=-2.237 final_energy_ry_per_atom=-0.2755 pbc="T T T"
Ca 0.0000 0.0000 0.0000
F 1.7933 0.6485 2.0747
Hg 3.5866 1.2969 4.1493
F 5.3799 1.9454 6.2240

---

# 11
5
Lattice="-5.2657 2.3751 -0.3796 -2.4000 -5.2485 0.4532 -0.1582 0.5696 5.7587" Properties=species:S:1:pos:R:3 comment="PBE CaCr3H, relaxed" final_energy_ry_per_atom=-0.3212 pbc="T T T"
Ca 0.0000 0.0000 0.0000
Cr -1.2000 -2.6243 0.2266
H -3.9120 -1.1520 2.9161
Cr -2.6328 1.1875 -0.1898
Cr -0.0791 0.2848 2.8794

---

# 12
5
Lattice="-3.7657 3.4358 1.9830 -3.9155 -2.7796 -2.6192 -0.6376 -3.2228 4.3732" Properties=species:S:1:pos:R:3 comment="PBE Ac3InC, relaxed" e_form_kj_per_mol_atoms=-14 final_energy_ry_per_atom=-0.3676 pbc="T T T"
Ac -1.8828 1.7179 0.9915
Ac -0.3188 -1.6114 2.1866
Ac -1.9577 -1.3898 -1.3096
In -4.1594 -1.2833 1.8685
C 0.0000 0.0000 0.0000

---

# 13
5
Lattice="-1.4739 -2.8981 -3.0625 -1.9966 -2.3777 3.2109 -4.2287 2.7654 -0.5818" Properties=species:S:1:pos:R:3 comment="PBE YCo2WSe, relaxed" formation_energy_uncorrected_ev_per_atom=1.978 final_energy_ry_per_atom=-0.4001 pbc="T T T"
Y 0.0000 0.0000 0.0000
W -3.8496 -1.2552 -0.2167
Co -0.9983 -1.1888 1.6055
Co -0.7369 -1.4490 -1.5312
Se -2.1144 1.3827 -0.2909

---

# 14
6
Lattice="4.1825 0.0000 0.0000 0.0000 4.3515 -0.0001 0.0000 0.0011 7.3795" Properties=species:S:1:pos:R:3 comment="PBE Nd2Ge3Ir, relaxed" e_form_kj_per_mol_atoms=-72 final_energy_ry_per_atom=-0.4501 pbc="T T T"
Ir 2.0913 4.3512 2.4102
Nd 0.0000 4.3513 0.0871
Ge 2.0913 0.0008 4.8489
Nd 0.0000 2.1767 3.6466
Ge 2.0913 2.1767 6.1627
Ge 2.0913 2.1754 1.2925

---

# 15
11
Lattice="0.1086 -5.0713 2.0997 -0.1330 -4.3234 -3.2582 8.2146 -2.5118 0.6852" Properties=species:S:1:pos:R:3 comment="PBE Sm2Ga5Pt4, relaxed" e_form_kj_per_mol_atoms=-82 final_energy_ry_per_atom=-0.3880 pbc="T T T"
Pt 6.0651 -5.6161 0.4757
Pt 6.0500 -8.8147 -0.0721
Ga 0.0543 -2.5356 1.0499
Ga -0.0122 -4.6973 -0.5793
Ga -0.0665 -2.1617 -1.6291
Pt 2.1250 -6.2904 -0.9490
Pt 2.1402 -3.0918 -0.4012
Ga 4.0679 -4.6854 -0.7616
Sm 6.1241 -2.5179 0.7786
Sm 2.1991 -5.0652 2.0063
Ga 4.1222 -7.2211 0.2883

---

# 16
12
Lattice="-1.0092 4.0856 1.6451 -5.5974 -0.7139 -1.6606 -1.9456 -0.7530 6.8818" Properties=species:S:1:pos:R:3 comment="PBE Li5Ga6Mo, relaxed" e_form_kj_per_mol_atoms=-22 final_energy_ry_per_atom=-0.2532 pbc="T T T"
Ga -1.9043 1.8643 0.4073
Li -3.8084 0.7059 2.1161
Ga -5.7049 -0.3556 3.5888
Ga -2.8473 2.9742 3.2775
Li -2.7987 -0.3569 -0.8303
Li -1.9877 2.1871 5.7596
Li -0.9671 1.1454 2.7674
Mo 0.0000 0.0000 0.0000
Ga -4.7022 1.5074 -0.4228
Ga -5.7360 2.6058 2.4205
Li -4.7438 1.9128 4.7502
Ga -2.8162 0.0128 4.4458

---

# 17
4
Lattice="-1.4854 3.1425 -1.4337 -0.1244 -1.5589 -3.2880 -3.3425 -1.2515 0.7198" Properties=species:S:1:pos:R:3 comment="PBE BeV2Os, relaxed" e_form_kj_per_mol_atoms=-13 final_energy_ry_per_atom=-0.6201 pbc="T T T"
Be -0.7427 1.5713 -0.7168
V -0.0622 -0.7794 -1.6440
V -1.6713 -0.6257 0.3599
Os -2.4762 0.1661 -2.0010

---

# 18
18
Lattice="-4.8896 -5.8946 3.5494 3.0992 -5.9084 5.1710 -1.6792 -0.0774 8.2721" Properties=species:S:1:pos:R:3 comment="PBE Pm2Zn12InCu3, relaxed" e_form_kj_per_mol_atoms=21 final_energy_ry_per_atom=-0.1464 pbc="T T T"
Zn 0.2528 -4.7624 9.3442
Zn -1.2065 -7.9003 12.9958
Zn -2.0568 -4.1000 10.0983
Zn -1.4128 -7.7804 6.8941
Zn 0.4222 -7.1251 8.4895
Zn -3.8918 -4.7552 8.5030
Zn -2.3219 -9.9214 11.3550
Zn -2.2631 -3.9801 3.9967
Zn -3.7224 -7.1180 7.6482
Zn 0.5125 -3.9849 4.5600
Zn -3.9821 -7.8955 12.4324
Pm -1.3937 -4.7722 6.8257
Cu 1.5496 -2.9542 2.5855
Cu -2.4448 -2.9473 1.7747
Zn -1.1477 -1.9590 5.6375
In 0.0000 0.0000 0.0000
Cu -0.8396 -0.0387 4.1360
Pm -2.0759 -7.1081 10.1667

---

# 19
12
Lattice="-4.4785 1.2175 -1.2619 -2.1900 -2.8996 4.9749 0.3892 4.0651 2.5407" Properties=species:S:1:pos:R:3 comment="PBE ThPa3H8, relaxed" final_energy_ry_per_atom=-0.4073 pbc="T T T"
H -1.6125 0.6229 1.5978
Th 0.0000 0.0000 0.0000
H -2.4975 1.1704 5.2672
H -2.6860 -0.7986 4.0366
Pa -3.3343 -0.8411 1.8565
H -1.4239 2.5919 2.8284
H -3.5932 3.1816 2.2171
H -4.8553 -0.2088 3.4254
H -4.6668 1.7601 4.6560
Pa -0.9004 0.5828 3.7578
Pa -2.0446 2.6413 0.6394
H -3.7817 1.2127 0.9866

---

# 20
4
Lattice="3.1769 0.0000 0.0000 0.0000 3.7804 0.0000 0.0000 0.0000 6.0353" Properties=species:S:1:pos:R:3 comment="PBE Ta2InRe, relaxed" e_form_kj_per_mol_atoms=10 final_energy_ry_per_atom=-0.7073 pbc="T T T"
Ta 0.0000 0.0000 5.8716
Re 1.5884 1.8902 4.5265
Ta 0.0000 0.0000 3.1814
In 1.5884 1.8902 1.5088